LiHfU | PBE | relaxed

Geometry as extended XYZ:
```
3
Lattice="0.000 3.300 3.300 3.300 0.000 3.300 3.300 3.300 0.000" Properties=species:S:1:pos:R:3 pbc="T T T"
Li 0.000 0.000 0.000
Hf 3.300 3.300 3.300
U 4.950 4.950 4.950
```

Properties
calculated volume: 72 Å³ per cell
energy above the lowest structure with this stoichiometry: 343.2 meV per atom
crystal system: cubic
energy: -18.56 eV per cell
M_tot: 3.147 μB/f.u.